[1]
This record from the Alexandria database describes crystalline BaInRe at its relaxed geometry. The functional is PBE.

Lattice parameters (Å, degrees): 5.3419 5.3419 5.3419 60.00 60.00 60.00
Last column: nearest neighbours and their distance in Å.
Positions (direct):
Ba  0.7500  0.7500  0.7500  4 Re 3.27, 4 In 3.27
In  0.0000  0.0000  0.0000  4 Ba 3.27
Re  0.5000  0.5000  0.5000  4 Ba 3.27

The calculation puts the density of states at the Fermi level at 2.87 states/eV per cell. The calculation puts the final energy at -3.9311 eV/atom. For the calculated formation energy, the calculation gives 1.772 eV per atom.

***

[2]
This record from the Alexandria database describes crystalline BaInRe at its relaxed geometry. The functional is PBE.

Lattice parameters (Å, degrees): 3.2067 3.2067 8.2252 90.00 90.00 120.00
Last column: nearest neighbours and their distance in Å.
Positions (direct):
Ba  0.0000  0.0000  0.9830  6 Ba 3.21, 3 Re 3.36
In  0.3333  0.6667  0.3751  3 Re 2.87, 6 In 3.21
Re  0.6667  0.3333  0.6419  3 In 2.87, 6 Re 3.21

The calculation puts the density of states at the Fermi level at 3.23 states/eV per cell. The calculation puts the final energy at -4.6744 eV/atom. For the calculated formation energy, the calculation gives 1.029 eV per atom.

***

[3]
This record from the Alexandria database describes crystalline BaInRe2 at its relaxed geometry. The functional is PBE.

Lattice parameters (Å, degrees): 4.9491 4.9491 4.9491 60.00 60.00 60.00
Last column: nearest neighbours and their distance in Å.
Positions (direct):
Ba  0.5000  0.5000  0.5000  4 In 3.03, 4 Re 3.03
In  0.7500  0.7500  0.7500  4 Re 3.03, 4 Ba 3.03
Re  0.0000  0.0000  0.0000  4 In 3.03, 4 Re 3.03
Re  0.2500  0.2500  0.2500  4 Ba 3.03, 4 Re 3.03

The calculation puts the density of states at the Fermi level at 2.28 states/eV per cell. The calculation puts the final energy at -6.0785 eV/atom. For the calculated formation energy, the calculation gives 1.311 eV per atom.

***

[4]
This record from the Alexandria database describes crystalline BaInRe2 at its relaxed geometry. The functional is PBE.

Lattice parameters (Å, degrees): 5.2691 5.2691 6.1860 74.04 74.04 43.04
Last column: nearest neighbours and their distance in Å.
Positions (direct):
Ba  0.2500  0.2500  0.2500  8 Re 3.53-3.86, 4 In 3.65, 2 Ba 3.87
In  0.7500  0.7500  0.7500  6 Re 2.81-2.97
Re  0.0092  0.0092  0.8572  2 Re 2.38
Re  0.4908  0.4908  0.6428  2 Re 2.38

The calculation puts the density of states at the Fermi level at 4.09 states/eV per cell. The calculation puts the final energy at -6.7280 eV/atom. For the calculated formation energy, the calculation gives 0.661 eV per atom.

***

[5]
This record from the Alexandria database describes crystalline BaInRe2 at its relaxed geometry. The functional is PBE.

Lattice parameters (Å, degrees): 2.9303 2.9303 9.8714 90.00 90.00 90.00
Last column: nearest neighbours and their distance in Å.
Positions (direct):
Ba  0.5000  0.5000  0.2500  4 Ba 2.93
In  0.5000  0.5000  0.7500  4 In 2.93, 8 Re 2.94
Re  0.0000  0.0000  0.9611  4 Re 2.93, 4 In 2.94
Re  0.0000  0.0000  0.5389  4 Re 2.93, 4 In 2.94

The calculation puts the density of states at the Fermi level at 5.31 states/eV per cell. The calculation puts the final energy at -6.0941 eV/atom. For the calculated formation energy, the calculation gives 1.295 eV per atom.

***

[6]
This record from the Alexandria database describes crystalline BaIn2Re at its relaxed geometry. The functional is PBE.

Lattice parameters (Å, degrees): 5.2629 5.2629 5.2629 60.00 60.00 60.00
Last column: nearest neighbours and their distance in Å.
Positions (direct):
Re  0.5000  0.5000  0.5000  8 In 3.22
Ba  0.0000  0.0000  0.0000  8 In 3.22
In  0.2500  0.2500  0.2500  4 Ba 3.22, 4 Re 3.22
In  0.7500  0.7500  0.7500  4 Ba 3.22, 4 Re 3.22

The calculation puts the density of states at the Fermi level at 3.65 states/eV per cell. The calculation puts the final energy at -4.2561 eV/atom. For the calculated formation energy, the calculation gives 0.706 eV per atom.

***

[7]
This record from the Alexandria database describes crystalline BaIn2Re at its relaxed geometry. The functional is PBE.

Lattice parameters (Å, degrees): 8.0969 8.0969 8.0969 157.40 146.79 40.55
Last column: nearest neighbours and their distance in Å.
Positions (direct):
Ba  0.3159  0.8159  0.5000  2 Ba 3.17, 2 Re 3.39
In  0.0061  0.0061  0.0000  4 Re 2.81
In  0.6650  0.1650  0.5000  2 Re 2.80
Re  0.5130  0.5130  0.0000  6 In 2.80-2.81

The calculation puts the density of states at the Fermi level at 2.62 states/eV per cell. The calculation puts the final energy at -4.5899 eV/atom. For the calculated formation energy, the calculation gives 0.372 eV per atom.

***

[8]
This record from the Alexandria database describes crystalline BaIn2Re at its relaxed geometry. The functional is PBE.

Lattice parameters (Å, degrees): 5.2783 5.2783 7.9645 66.54 66.54 35.06
Last column: nearest neighbours and their distance in Å.
Positions (direct):
Ba  0.1820  0.1820  0.2698  2 Ba 3.18, 2 Re 3.28
In  0.0103  0.0103  0.9494  2 Re 2.79
In  0.7975  0.7975  0.6184  3 Re 2.76-2.80
Re  0.5102  0.5102  0.6624  5 In 2.76-2.80

The calculation puts the density of states at the Fermi level at 3.10 states/eV per cell. The calculation puts the final energy at -4.4542 eV/atom. For the calculated formation energy, the calculation gives 0.508 eV per atom.